! GGA+U K2NaMnO4, relaxed; values from VASP
! DOS(E_F) = 0.000 states/eV per atom
! space group = Fddd (70)
&SYSTEM
  ibrav = 0, nat = 16, ntyp = 4
/
ATOMIC_SPECIES
K 39.10 K.upf
O 16.00 O.upf
Na 22.99 Na.upf
Mn 54.94 Mn.upf
CELL_PARAMETERS angstrom
-0.662 1.692 -5.120
-5.766 2.172 -1.419
2.618 10.513 0.254
ATOMIC_POSITIONS crystal
K 0.934 0.500 0.131
K 0.184 0.000 0.631
K 0.566 0.500 0.869
K 0.816 0.000 0.369
O 0.268 0.183 0.911
O 0.928 0.683 0.589
O 0.482 0.317 0.589
O 0.389 0.683 0.411
O 0.822 0.817 0.911
O 0.361 0.817 0.089
O 0.550 0.183 0.089
O 0.200 0.317 0.411
Na 0.000 0.000 0.000
Na 0.750 0.500 0.500
Mn 0.250 0.500 0.500
Mn 0.500 0.000 0.000

***

! GGA+U K2NaMnO4, relaxed; values from VASP
! DOS(E_F) = 0.000 states/eV per atom
! space group = Fddd (70)
&SYSTEM
  ibrav = 0, nat = 32, ntyp = 4
/
ATOMIC_SPECIES
Mn 54.94 Mn.upf
O 16.00 O.upf
Na 22.99 Na.upf
K 39.10 K.upf
CELL_PARAMETERS angstrom
7.809 0.002 0.000
-0.639 7.783 0.000
-3.585 -3.892 8.667
ATOMIC_POSITIONS crystal
Mn 0.131 0.869 0.250
Mn 0.381 0.619 0.750
Mn 0.619 0.381 0.250
Mn 0.869 0.131 0.750
O 0.357 0.918 0.263
O 0.616 0.204 0.089
O 0.204 0.616 0.589
O 0.972 0.885 0.089
O 0.918 0.357 0.763
O 0.406 0.344 0.263
O 0.796 0.384 0.411
O 0.594 0.656 0.737
O 0.656 0.594 0.237
O 0.344 0.406 0.763
O 0.643 0.082 0.737
O 0.082 0.643 0.237
O 0.885 0.972 0.589
O 0.115 0.028 0.411
O 0.384 0.796 0.911
O 0.028 0.115 0.911
Na 0.034 0.284 0.567
Na 0.284 0.034 0.067
Na 0.966 0.716 0.433
Na 0.716 0.966 0.933
K 0.057 0.307 0.250
K 0.943 0.693 0.750
K 0.265 0.515 0.029
K 0.515 0.265 0.529
K 0.307 0.057 0.750
K 0.485 0.735 0.471
K 0.735 0.485 0.971
K 0.693 0.943 0.250

***

Results for ΔE to the lowest computed polymorph: 204.3 0.0 (in meV/atom, following the order of the records).